[1]
# Ac6GaPd3

Crystalline Ac6GaPd3 at its relaxed geometry (PBE-GGA, Alexandria via LeMat-Bulk).

Unit cell a=4.398 b=12.885 c=13.058 alpha=109.29 beta=90.00 gamma=90.00
Sites, in units of the cell vectors:
Ac (0.250, 0.615, 0.947)
Ac (0.250, 0.878, 0.532)
Ac (0.750, 0.477, 0.616)
Ac (0.750, 0.723, 0.263)
Ac (0.750, 0.385, 0.053)
Ac (0.250, 0.193, 0.249)
Ac (0.750, 0.122, 0.468)
Ac (0.750, 0.922, 0.095)
Ac (0.250, 0.523, 0.384)
Ac (0.250, 0.277, 0.737)
Ac (0.250, 0.078, 0.905)
Ac (0.750, 0.807, 0.751)
Pd (0.250, 0.846, 0.918)
Pd (0.750, 0.154, 0.082)
Pd (0.250, 0.319, 0.505)
Pd (0.750, 0.681, 0.495)
Pd (0.750, 0.449, 0.840)
Pd (0.250, 0.551, 0.160)
Ga (0.250, 0.946, 0.304)
Ga (0.750, 0.054, 0.696)

Computed properties:
The total DFT energy (no corrections) comes out at -4.8495 eV per atom. Its density of states at the Fermi level is 19.65 states/eV per cell.

---

[2]
# Ac2Ga5Pd

Crystalline Ac2Ga5Pd at its relaxed geometry (PBE-GGA, Alexandria via LeMat-Bulk).

Unit cell a=6.625 b=6.625 c=6.625 alpha=85.21 beta=122.80 gamma=122.80
Sites, in units of the cell vectors:
Pd (0.000, 0.017, 0.017)
Ga (0.425, 0.700, 0.700)
Ga (0.575, 0.275, 0.275)
Ga (0.000, 0.275, 0.700)
Ga (0.000, 0.281, 0.281)
Ga (0.000, 0.700, 0.275)
Ac (0.500, 0.237, 0.737)
Ac (0.500, 0.737, 0.237)

Computed properties:
The total DFT energy (no corrections) comes out at -4.0831 eV per atom. Its density of states at the Fermi level is 4.33 states/eV per cell.

---

[3]
# Ac3Ga3Pd8

Crystalline Ac3Ga3Pd8 at its relaxed geometry (PBE-GGA, Alexandria via LeMat-Bulk).

Unit cell a=4.485 b=8.558 c=8.558 alpha=69.74 beta=74.81 gamma=74.81
Sites, in units of the cell vectors:
Ga (0.000, 0.768, 0.232)
Ga (0.000, 0.232, 0.768)
Ga (0.500, 0.000, 0.000)
Pd (0.611, 0.094, 0.684)
Pd (0.389, 0.316, 0.906)
Pd (0.825, 0.824, 0.525)
Pd (0.825, 0.525, 0.824)
Pd (0.175, 0.475, 0.176)
Pd (0.611, 0.684, 0.094)
Pd (0.175, 0.176, 0.475)
Pd (0.389, 0.906, 0.316)
Ac (0.797, 0.203, 0.203)
Ac (0.500, 0.500, 0.500)
Ac (0.203, 0.797, 0.797)

Computed properties:
Its offset from the most stable computed form is 1.17 eV/f.u. Its density of states at the Fermi level is 7.84 states/eV per cell.

---

[4]
# AcGa3Pd2

Crystalline AcGa3Pd2 at its relaxed geometry (PBE-GGA, Alexandria via LeMat-Bulk).

Unit cell a=5.636 b=6.584 c=6.584 alpha=101.97 beta=90.00 gamma=90.00
Sites, in units of the cell vectors:
Ga (0.750, 0.104, 0.463)
Ga (0.750, 0.463, 0.104)
Ga (0.250, 0.935, 0.935)
Ga (0.750, 0.065, 0.065)
Ga (0.250, 0.896, 0.537)
Ga (0.250, 0.537, 0.896)
Pd (0.000, 0.209, 0.791)
Pd (0.500, 0.791, 0.209)
Pd (0.500, 0.209, 0.791)
Pd (0.000, 0.791, 0.209)
Ac (0.750, 0.666, 0.666)
Ac (0.250, 0.334, 0.334)

Computed properties:
Its offset from the most stable computed form is 0.15 eV/f.u. Its density of states at the Fermi level is 5.93 states/eV per cell.

---

[5]
# Ac3GaPd3

Crystalline Ac3GaPd3 at its relaxed geometry (PBE-GGA, Alexandria via LeMat-Bulk).

Unit cell a=4.315 b=6.357 c=14.748 alpha=85.48 beta=81.59 gamma=70.16
Sites, in units of the cell vectors:
Pd (0.877, 0.170, 0.075)
Pd (0.123, 0.830, 0.925)
Pd (0.042, 0.154, 0.762)
Pd (0.865, 0.724, 0.545)
Pd (0.958, 0.846, 0.238)
Pd (0.135, 0.276, 0.455)
Ac (0.469, 0.676, 0.386)
Ac (0.260, 0.249, 0.231)
Ac (0.740, 0.751, 0.769)
Ac (0.599, 0.724, 0.077)
Ac (0.401, 0.276, 0.923)
Ac (0.531, 0.324, 0.614)
Ga (0.755, 0.086, 0.405)
Ga (0.245, 0.914, 0.595)

Computed properties:
Its offset from the most stable computed form is 0.00 eV/f.u. Its density of states at the Fermi level is 8.66 states/eV per cell.

---

[6]
# AcGa3Pd

Crystalline AcGa3Pd at its relaxed geometry (PBE-GGA, Alexandria via LeMat-Bulk).

Unit cell a=5.953 b=6.452 c=6.452 alpha=120.00 beta=90.00 gamma=90.00
Sites, in units of the cell vectors:
Ac (0.250, 0.333, 0.667)
Ac (0.750, 0.667, 0.333)
Ga (0.250, 0.808, 0.617)
Ga (0.250, 0.808, 0.191)
Ga (0.750, 0.192, 0.383)
Ga (0.750, 0.192, 0.809)
Ga (0.750, 0.617, 0.809)
Ga (0.250, 0.383, 0.192)
Pd (0.500, 0.000, 0.000)
Pd (0.000, 0.000, 0.000)

Computed properties:
Its offset from the most stable computed form is 0.62 eV/f.u. Its density of states at the Fermi level is 7.26 states/eV per cell.

---

[7]
# AcGaPd

Crystalline AcGaPd at its relaxed geometry (PBE-GGA, Alexandria via LeMat-Bulk).

Unit cell a=5.915 b=5.915 c=5.915 alpha=40.75 beta=40.75 gamma=40.75
Sites, in units of the cell vectors:
Ac (0.885, 0.885, 0.885)
Ga (0.084, 0.084, 0.084)
Pd (0.361, 0.361, 0.361)

Computed properties:
Its offset from the most stable computed form is 0.79 eV/f.u. Its density of states at the Fermi level is 2.30 states/eV per cell.

---

[8]
# AcGa4Pd2

Crystalline AcGa4Pd2 at its relaxed geometry (PBE-GGA, Alexandria via LeMat-Bulk).

Unit cell a=4.503 b=4.527 c=7.309 alpha=108.04 beta=90.00 gamma=90.00
Sites, in units of the cell vectors:
Ga (0.500, 0.813, 0.627)
Ga (0.000, 0.310, 0.621)
Ga (0.500, 0.187, 0.373)
Ga (0.000, 0.690, 0.379)
Ac (0.000, 0.000, 0.000)
Pd (0.500, 0.600, 0.200)
Pd (0.500, 0.400, 0.800)

Computed properties:
Its offset from the most stable computed form is 0.79 eV/f.u. Its density of states at the Fermi level is 3.35 states/eV per cell.

---

[9]
# Ac2Ga3Pd5

Crystalline Ac2Ga3Pd5 at its relaxed geometry (PBE-GGA, Alexandria via LeMat-Bulk).

Unit cell a=4.357 b=7.450 c=13.119 alpha=90.00 beta=99.56 gamma=90.00
Sites, in units of the cell vectors:
Ga (0.362, 0.949, 0.724)
Ga (0.770, 0.894, 0.540)
Ga (0.638, 0.449, 0.276)
Ga (0.965, 0.317, 0.930)
Ga (0.230, 0.394, 0.460)
Ga (0.035, 0.817, 0.070)
Pd (0.420, 0.225, 0.840)
Pd (0.580, 0.725, 0.160)
Pd (0.139, 0.255, 0.278)
Pd (0.947, 0.978, 0.895)
Pd (0.707, 0.178, 0.414)
Pd (0.053, 0.478, 0.105)
Pd (0.272, 0.082, 0.544)
Pd (0.861, 0.755, 0.722)
Pd (0.728, 0.582, 0.456)
Pd (0.293, 0.678, 0.586)
Ac (0.547, 0.151, 0.094)
Ac (0.453, 0.651, 0.906)
Ac (0.166, 0.836, 0.333)
Ac (0.834, 0.336, 0.667)

Computed properties:
Its offset from the most stable computed form is 0.49 eV/f.u. Its density of states at the Fermi level is 10.32 states/eV per cell.

---

[10]
# AcGaPd4

Crystalline AcGaPd4 at its relaxed geometry (PBE-GGA, Alexandria via LeMat-Bulk).

Unit cell a=5.484 b=5.484 c=5.484 alpha=60.00 beta=60.00 gamma=60.00
Sites, in units of the cell vectors:
Pd (0.626, 0.626, 0.626)
Pd (0.626, 0.626, 0.122)
Pd (0.122, 0.626, 0.626)
Pd (0.626, 0.122, 0.626)
Ac (0.250, 0.250, 0.250)
Ga (0.000, 0.000, 0.000)

Computed properties:
Its offset from the most stable computed form is 0.61 eV/f.u. Its density of states at the Fermi level is 3.41 states/eV per cell.

---

[11]
# Ac2GaPd

Crystalline Ac2GaPd at its relaxed geometry (PBE-GGA, Alexandria via LeMat-Bulk).

Unit cell a=4.555 b=4.528 c=6.171 alpha=111.52 beta=90.00 gamma=90.00
Sites, in units of the cell vectors:
Pd (0.000, 0.697, 0.393)
Ac (0.000, 0.983, 0.965)
Ac (0.500, 0.265, 0.529)
Ga (0.500, 0.555, 0.111)

Computed properties:
The total DFT energy (no corrections) comes out at -4.7288 eV per atom. Its density of states at the Fermi level is 4.52 states/eV per cell.

---

[12]
# Ac2GaPd

Crystalline Ac2GaPd at its relaxed geometry (PBE-GGA, Alexandria via LeMat-Bulk).

Unit cell a=4.631 b=5.930 c=9.446 alpha=113.80 beta=90.00 gamma=90.00
Sites, in units of the cell vectors:
Ac (0.750, 0.206, 0.924)
Ac (0.750, 0.217, 0.432)
Ac (0.250, 0.783, 0.568)
Ac (0.250, 0.794, 0.076)
Pd (0.750, 0.630, 0.785)
Pd (0.250, 0.370, 0.215)
Ga (0.750, 0.619, 0.277)
Ga (0.250, 0.381, 0.723)

Computed properties:
The total DFT energy (no corrections) comes out at -4.7308 eV per atom. Its density of states at the Fermi level is 7.15 states/eV per cell.